SrAl2Pt | PBE-GGA | optimized geometry

Summary:
As for the space group: Pnma (62). The value obtained for the formation energy is -0.771 eV/atom. The value obtained for the total DFT energy (no corrections) is -4.5730 eV/atom.

Cell lengths 6.0592, 7.2534, 15.8520 Å; angles 90.00, 90.00, 90.00 degrees
Closest atoms and distances in Å follow each position.
Atoms (fractional coordinates):
Sr: 0.1959 0.7500 0.6009  2 Pt 3.11-3.29, 6 Al 3.32-3.41
Sr: 0.5098 0.7500 0.8693  3 Pt 3.13-3.21, 4 Al 3.29-3.36
Sr: 0.6959 0.2500 0.8991  2 Pt 3.11-3.29, 6 Al 3.32-3.41
Sr: 0.8041 0.2500 0.3991  2 Pt 3.11-3.29, 6 Al 3.32-3.41
Sr: 0.9902 0.7500 0.3693  3 Pt 3.13-3.21, 4 Al 3.29-3.36
Sr: 0.0098 0.2500 0.6307  3 Pt 3.13-3.21, 4 Al 3.29-3.36
Sr: 0.3041 0.7500 0.1009  2 Pt 3.11-3.29, 6 Al 3.32-3.41
Sr: 0.4902 0.2500 0.1307  3 Pt 3.13-3.21, 4 Al 3.29-3.36
Al: 0.5137 0.4440 0.7102  3 Pt 2.61-2.69, 2 Al 2.81-2.87
Al: 0.5137 0.0560 0.7102  3 Pt 2.61-2.69, 2 Al 2.81-2.87
Al: 0.8208 0.5643 0.0498  3 Pt 2.54-2.63, 2 Al 2.69-2.84
Al: 0.1792 0.0643 0.9502  3 Pt 2.54-2.63, 2 Al 2.69-2.84
Al: 0.9863 0.4440 0.2102  3 Pt 2.61-2.69, 2 Al 2.81-2.87
Al: 0.0137 0.9440 0.7898  3 Pt 2.61-2.69, 2 Al 2.81-2.87
Al: 0.4863 0.9440 0.2898  3 Pt 2.61-2.69, 2 Al 2.81-2.87
Al: 0.6792 0.9357 0.5498  3 Pt 2.54-2.63, 2 Al 2.69-2.84
Al: 0.4863 0.5560 0.2898  3 Pt 2.61-2.69, 2 Al 2.81-2.87
Al: 0.8208 0.9357 0.0498  3 Pt 2.54-2.63, 2 Al 2.69-2.84
Al: 0.9863 0.0560 0.2102  3 Pt 2.61-2.69, 2 Al 2.81-2.87
Al: 0.3208 0.4357 0.4502  3 Pt 2.54-2.63, 2 Al 2.69-2.84
Al: 0.3208 0.0643 0.4502  3 Pt 2.54-2.63, 2 Al 2.69-2.84
Al: 0.0137 0.5560 0.7898  3 Pt 2.61-2.69, 2 Al 2.81-2.87
Al: 0.1792 0.4357 0.9502  3 Pt 2.54-2.63, 2 Al 2.69-2.84
Al: 0.6792 0.5643 0.5498  3 Pt 2.54-2.63, 2 Al 2.69-2.84
Pt: 0.4968 0.7500 0.4281  6 Al 2.54-2.61
Pt: 0.2604 0.2500 0.3094  6 Al 2.63-2.69
Pt: 0.9968 0.2500 0.0719  6 Al 2.54-2.61
Pt: 0.7604 0.7500 0.1906  6 Al 2.63-2.69
Pt: 0.2396 0.2500 0.8094  6 Al 2.63-2.69
Pt: 0.0032 0.7500 0.9281  6 Al 2.54-2.61
Pt: 0.5032 0.2500 0.5719  6 Al 2.54-2.61
Pt: 0.7396 0.7500 0.6906  6 Al 2.63-2.69